The following is a DFT calculation (GGA-PBE) of a relaxed structure of BeSiAg.

Unit cell a=2.835 b=2.835 c=5.983 alpha=90.00 beta=90.00 gamma=120.00
Fractional coordinates of all 3 atoms:
1 Be 0.667 0.333 0.343
2 Ag 0.000 0.000 0.020
3 Si 0.333 0.667 0.637

Values from the calculation:
ΔE_f (raw) (eV per atom): 0.313

***

The following is a DFT calculation (GGA-PBE) of a relaxed structure of Tm2ThCd6.

Unit cell a=3.388 b=8.685 c=8.685 alpha=120.00 beta=90.00 gamma=90.00
Fractional coordinates of all 9 atoms:
1 Cd 0.500 0.000 0.662
2 Cd 0.500 0.662 0.662
3 Cd 0.500 0.000 0.338
4 Cd 0.500 0.338 0.000
5 Cd 0.500 0.662 0.000
6 Cd 0.500 0.338 0.338
7 Tm 0.000 0.333 0.667
8 Tm 0.000 0.667 0.333
9 Th 0.000 0.000 0.000

Values from the calculation:
Formation energy (kJ/mol of formula units): -219

***

The following is a DFT calculation (GGA-PBE) of a relaxed structure of LiAuSCl2.

Unit cell a=5.166 b=5.166 c=4.785 alpha=90.00 beta=90.00 gamma=90.00
Fractional coordinates of all 5 atoms:
1 Au 0.000 0.000 0.000
2 Li 0.500 0.500 0.500
3 Cl 0.000 0.500 0.000
4 Cl 0.500 0.000 0.000
5 S 0.000 0.000 0.500

Values from the calculation:
ΔE_f (raw) (eV per atom): -0.239

***

The following is a DFT calculation (GGA-PBE) of a relaxed structure of SrYCdIn.

Unit cell a=3.859 b=3.859 c=7.986 alpha=90.00 beta=90.00 gamma=90.00
Fractional coordinates of all 4 atoms:
1 Cd 0.500 0.500 0.578
2 In 0.500 0.500 0.134
3 Sr 0.000 0.000 0.856
4 Y 0.000 0.000 0.360

Values from the calculation:
Formation energy (kJ/mol of formula units): -156

***

The following is a DFT calculation (GGA-PBE) of a relaxed structure of LiMoH2.

Unit cell a=2.861 b=2.861 c=5.133 alpha=73.82 beta=73.82 gamma=60.00
Fractional coordinates of all 4 atoms:
1 H 0.741 0.741 0.778
2 H 0.259 0.259 0.222
3 Mo 0.000 0.000 0.000
4 Li 0.500 0.500 0.500

***

The following is a DFT calculation (GGA-PBE) of a relaxed structure of LiPm2GaPd6.

Unit cell a=6.461 b=6.477 c=8.736 alpha=47.41 beta=47.55 gamma=73.62
Fractional coordinates of all 10 atoms:
1 Pd 0.246 0.755 0.826
2 Pd 0.805 0.698 0.504
3 Pd 0.698 0.805 0.993
4 Pd 0.754 0.245 0.174
5 Pd 0.302 0.195 0.007
6 Pd 0.195 0.302 0.496
7 Pm 0.748 0.252 0.499
8 Pm 0.252 0.748 0.501
9 Ga 0.500 0.500 0.000
10 Li 0.000 0.000 0.000

Values from the calculation:
Formation energy (kJ/mol of formula units): -603

***

no.,energy (eV/cell)
1,-11.06
2,-24.13
3,-14.21
4,-13.41
5,-19.81
6,-51.85